[1]
VASP calculation (PBE) on crystalline PuGeW at its relaxed geometry.

a b c (Å): 3.9409 3.9409 8.2868
angles (deg): 103.69 103.69 89.99
Fractional coordinates of all 6 atoms:
Pu 0.1772 0.1772 0.3556
Pu 0.8228 0.8228 0.6444
Ge 0.3810 0.3810 0.7608
Ge 0.6190 0.6190 0.2392
W 0.0000 0.5000 0.0000
W 0.5000 0.0000 0.0000

Results
Calculated formation energy (eV per atom): -0.106
Total moment (Bohr magnetons per cell): 11.53


[2]
VASP calculation (PBE) on crystalline Y8MgCo2 at its relaxed geometry.

a b c (Å): 7.9348 7.9348 5.3932
angles (deg): 96.63 96.63 113.95
Fractional coordinates of all 11 atoms:
Y 0.0000 0.0000 0.0000
Y 0.0571 0.3218 0.6290
Y 0.1348 0.6434 0.2017
Y 0.3218 0.0571 0.6290
Y 0.4566 0.7212 0.7742
Y 0.6434 0.1348 0.2017
Y 0.7212 0.4566 0.7742
Y 0.7789 0.7789 0.4038
Mg 0.3898 0.3898 0.2015
Co 0.0816 0.6970 0.7018
Co 0.6970 0.0816 0.7018

Results
Calculated formation energy (eV per atom): -0.024
Total moment (Bohr magnetons per cell): 0.00


[3]
VASP calculation (PBE) on crystalline BeCdAu2 at its relaxed geometry.

a b c (Å): 5.2856 5.2856 5.2856
angles (deg): 145.37 126.58 65.24
Fractional coordinates of all 4 atoms:
Be 0.0000 0.0000 0.0000
Cd 0.5000 0.5000 0.0000
Au 0.1991 0.6991 0.5000
Au 0.8009 0.3009 0.5000

Results
Calculated formation energy (eV per atom): -0.051
Polymorph energy (0 for the lowest one) (meV per atom): 104
Total moment (Bohr magnetons per cell): 0.00


> Look up the calculated formation energy of the first one.

-0.106 eV per atom